(1)
Below is a PBEsol-optimized structure of RbNaIr2Rh, with properties calculated at the meta-GGA SCAN level.

## Properties
Its density of states at the Fermi level is 3.80 states/eV/cell. As for the uncorrected energy: -39.27 eV per atom. The calculation puts the total moment at 0.00 Bohr magnetons per cell. The formation energy is 0.910 eV per atom.

Geometry as CIF:
```
data_RbNaIr2Rh
_chemical_formula_sum 'Rb1 Na1 Ir2 Rh1'
_cell_length_a 4.712
_cell_length_b 4.712
_cell_length_c 5.346
_cell_angle_alpha 90.00
_cell_angle_beta 90.00
_cell_angle_gamma 90.00
_space_group_name_H-M_alt 'P 1'
_space_group_IT_number 1
_space_group_name_Hall 'P 1'
loop_
_atom_site_label
_atom_site_fract_x
_atom_site_fract_y
_atom_site_fract_z
_atom_site_occupancy
Rb1 0.000 0.000 0.000 1
Na1 0.500 0.500 0.000 1
Ir1 0.000 0.500 0.500 1
Ir2 0.500 0.000 0.500 1
Rh1 0.500 0.500 0.500 1
```

(2)
Below is a PBEsol-optimized structure of ScBBr2, with properties calculated at the meta-GGA SCAN level.

## Properties
Its density of states at the Fermi level is 3.93 states/eV/cell. As for the uncorrected energy: -15.32 eV per atom. The calculation puts the total moment at 0.00 Bohr magnetons per cell. Its formation energy (no corrections) is -0.174 eV per atom.

Geometry as CIF:
```
data_ScBBr2
_chemical_formula_sum 'Sc2 B2 Br4'
_cell_length_a 7.232
_cell_length_b 7.232
_cell_length_c 7.232
_cell_angle_alpha 96.04
_cell_angle_beta 96.04
_cell_angle_gamma 142.13
_space_group_name_H-M_alt 'P 1'
_space_group_IT_number 1
_space_group_name_Hall 'P 1'
loop_
_atom_site_label
_atom_site_fract_x
_atom_site_fract_y
_atom_site_fract_z
_atom_site_occupancy
Sc1 0.000 0.000 0.000 1
Sc2 0.750 0.250 0.500 1
B1 0.250 0.750 0.500 1
B2 0.500 0.500 0.000 1
Br1 0.375 0.038 0.163 1
Br2 0.788 0.625 0.663 1
Br3 0.875 0.212 0.837 1
Br4 0.962 0.125 0.337 1
```

(3)
Below is a PBEsol-optimized structure of CsTe2BrN, with properties calculated at the meta-GGA SCAN level.

## Properties
Its density of states at the Fermi level is 2.39 states/eV/cell. As for the uncorrected energy: -27.41 eV per atom. The calculation puts the total moment at 0.00 Bohr magnetons per cell. Its formation energy (no corrections) is 0.800 eV per atom.

Geometry as CIF:
```
data_CsTe2BrN
_chemical_formula_sum 'Cs1 Te2 Br1 N1'
_cell_length_a 6.708
_cell_length_b 6.708
_cell_length_c 3.588
_cell_angle_alpha 90.00
_cell_angle_beta 90.00
_cell_angle_gamma 90.00
_space_group_name_H-M_alt 'P 1'
_space_group_IT_number 1
_space_group_name_Hall 'P 1'
loop_
_atom_site_label
_atom_site_fract_x
_atom_site_fract_y
_atom_site_fract_z
_atom_site_occupancy
Cs1 0.000 0.000 0.000 1
Te1 0.000 0.500 0.500 1
Te2 0.500 0.000 0.500 1
Br1 0.500 0.500 0.500 1
N1 0.500 0.500 0.000 1
```